1.
Below is a relaxed structure of VTcNi3, with properties calculated at the GGA-PBE level.

Crystal system = cubic
E above lowest polymorph = 0.0 meV/atom
N(E_F) = 5.88 states/eV/f.u.
Energy relative to the elements = 1.1998 eV/atom

Cell: 4.199 4.199 4.199 Å, 90.00 90.00 90.00°
Space group Pm-3m (No. 221)
Symmetry-distinct sites (fractional):
V1 0.000 0.000 0.000 (multiplicity 1)
Tc1 0.500 0.500 0.500 (multiplicity 1)
Ni1 0.000 0.000 0.500 (multiplicity 3)

2.
Below is a relaxed structure of V6Tc5Ni, with properties calculated at the GGA-PBE level.

Crystal system = orthorhombic
N(E_F) = 11.12 states/eV/f.u.
Energy relative to the elements = -0.2961 eV/atom

Cell: 4.252 6.042 12.731 Å, 90.00 90.00 90.00°
Space group Immm (No. 71)
Symmetry-distinct sites (fractional):
V1 0.000 0.247 0.000 (multiplicity 4)
V2 0.000 0.251 0.333 (multiplicity 8)
Tc1 0.000 0.000 0.168 (multiplicity 4)
Tc2 0.000 0.500 0.162 (multiplicity 4)
Tc3 0.000 0.500 0.500 (multiplicity 2)
Ni1 0.000 0.000 0.500 (multiplicity 2)

3.
Below is a relaxed structure of VTc3Ni, with properties calculated at the GGA-PBE level.

Crystal system = cubic
E above lowest polymorph = 66.4 meV/atom
N(E_F) = 7.98 states/eV/f.u.
Energy relative to the elements = 1.4527 eV/atom

Cell: 4.396 4.396 4.396 Å, 90.00 90.00 90.00°
Space group Pm-3m (No. 221)
Symmetry-distinct sites (fractional):
V1 0.000 0.000 0.000 (multiplicity 1)
Tc1 0.000 0.500 0.500 (multiplicity 3)
Ni1 0.500 0.500 0.500 (multiplicity 1)

4.
Below is a relaxed structure of V2TcNi2, with properties calculated at the GGA-PBE level.

Crystal system = tetragonal
E above lowest polymorph = 179.2 meV/atom
N(E_F) = 4.71 states/eV/f.u.
Energy relative to the elements = 0.1141 eV/atom

Cell: 6.501 6.501 3.090 Å, 90.00 90.00 90.00°
Space group P4/mbm (No. 127)
Symmetry-distinct sites (fractional):
V1 0.157 0.343 0.000 (multiplicity 4)
Tc1 0.000 0.000 0.000 (multiplicity 2)
Ni1 0.138 0.638 0.500 (multiplicity 4)

5.
Below is a relaxed structure of V3TcNi, with properties calculated at the GGA-PBE level.

Crystal system = cubic
E above lowest polymorph = 281.7 meV/atom
N(E_F) = 9.32 states/eV/f.u.
Energy relative to the elements = 1.2886 eV/atom

Cell: 4.475 4.475 4.475 Å, 90.00 90.00 90.00°
Space group Pm-3m (No. 221)
Symmetry-distinct sites (fractional):
V1 0.000 0.000 0.500 (multiplicity 3)
Tc1 0.000 0.000 0.000 (multiplicity 1)
Ni1 0.500 0.500 0.500 (multiplicity 1)

6.
Below is a relaxed structure of V2TcNi2, with properties calculated at the GGA-PBE level.

Crystal system = tetragonal
E above lowest polymorph = 378.1 meV/atom
N(E_F) = 5.17 states/eV/f.u.
Energy relative to the elements = 0.3131 eV/atom

Cell: 3.491 3.491 10.843 Å, 90.00 90.00 90.00°
Space group I4/mmm (No. 139)
Symmetry-distinct sites (fractional):
V1 0.000 0.500 0.250 (multiplicity 4)
Tc1 0.000 0.000 0.000 (multiplicity 2)
Ni1 0.000 0.000 0.400 (multiplicity 4)

7.
Below is a relaxed structure of V5Tc4Ni, with properties calculated at the GGA-PBE level.

Crystal system = tetragonal
N(E_F) = 8.00 states/eV/f.u.
Energy relative to the elements = -0.2985 eV/atom

Cell: 3.035 3.035 14.739 Å, 90.00 90.00 90.00°
Space group P4/mmm (No. 123)
Symmetry-distinct sites (fractional):
V1 0.000 0.000 0.000 (multiplicity 1)
V2 0.000 0.000 0.204 (multiplicity 2)
V3 0.000 0.000 0.405 (multiplicity 2)
Tc1 0.500 0.500 0.102 (multiplicity 2)
Tc2 0.500 0.500 0.308 (multiplicity 2)
Ni1 0.500 0.500 0.500 (multiplicity 1)

8.
Below is a relaxed structure of V4TcNi2, with properties calculated at the GGA-PBE level.

Crystal system = tetragonal
N(E_F) = 11.82 states/eV/f.u.
Energy relative to the elements = 0.9414 eV/atom

Cell: 4.475 4.475 11.898 Å, 90.00 90.00 90.00°
Space group I4/mmm (No. 139)
Symmetry-distinct sites (fractional):
V1 0.000 0.000 0.202 (multiplicity 4)
V2 0.000 0.500 0.000 (multiplicity 4)
Tc1 0.000 0.000 0.000 (multiplicity 2)
Ni1 0.000 0.000 0.398 (multiplicity 4)

9.
Below is a relaxed structure of V4Tc2Ni, with properties calculated at the GGA-PBE level.

Crystal system = tetragonal
N(E_F) = 10.01 states/eV/f.u.
Energy relative to the elements = 0.7959 eV/atom

Cell: 4.257 4.257 12.313 Å, 90.00 90.00 90.00°
Space group I4/mmm (No. 139)
Symmetry-distinct sites (fractional):
V1 0.000 0.000 0.193 (multiplicity 4)
V2 0.000 0.500 0.000 (multiplicity 4)
Tc1 0.000 0.000 0.377 (multiplicity 4)
Ni1 0.000 0.000 0.000 (multiplicity 2)

10.
Below is a relaxed structure of VTcNi, with properties calculated at the GGA-PBE level.

Crystal system = tetragonal
E above lowest polymorph = 49.7 meV/atom
N(E_F) = 4.95 states/eV/f.u.
Energy relative to the elements = -0.0227 eV/atom

Cell: 3.059 3.059 8.421 Å, 90.00 90.00 90.00°
Space group I4mm (No. 107)
Symmetry-distinct sites (fractional):
V1 0.000 0.000 0.000 (multiplicity 2)
Tc1 0.000 0.000 0.346 (multiplicity 2)
Ni1 0.000 0.000 0.664 (multiplicity 2)

11.
Below is a relaxed structure of V2TcNi, with properties calculated at the GGA-PBE level.

Crystal system = tetragonal
N(E_F) = 5.77 states/eV/f.u.
Energy relative to the elements = -0.1909 eV/atom

Cell: 3.052 3.052 5.617 Å, 90.00 90.00 90.00°
Space group P4/mmm (No. 123)
Symmetry-distinct sites (fractional):
V1 0.000 0.000 0.244 (multiplicity 2)
Tc1 0.500 0.500 0.500 (multiplicity 1)
Ni1 0.500 0.500 0.000 (multiplicity 1)

12.
Below is a relaxed structure of V2TcNi2, with properties calculated at the GGA-PBE level.

Crystal system = tetragonal
E above lowest polymorph = 0.0 meV/atom
N(E_F) = 4.81 states/eV/f.u.
Energy relative to the elements = -0.0650 eV/atom

Cell: 7.051 7.051 2.545 Å, 90.00 90.00 90.00°
Space group P4/mbm (No. 127)
Symmetry-distinct sites (fractional):
V1 0.175 0.325 0.000 (multiplicity 4)
Tc1 0.000 0.000 0.500 (multiplicity 2)
Ni1 0.122 0.622 0.500 (multiplicity 4)